(1)
First-principles (PBE) data for a geometry-optimized Rb2BiS structure, as listed in Alexandria.

The structure in CIF format:
```
data_Rb2BiS
_cell_length_a 12.028
_cell_length_b 12.028
_cell_length_c 5.605
_cell_angle_alpha 90.00
_cell_angle_beta 90.00
_cell_angle_gamma 90.00
_space_group_name_H-M_alt 'I -4 2 d'
_space_group_IT_number 122
_space_group_name_Hall 'I -4 2bw'
loop_
_atom_site_label
_atom_site_fract_x
_atom_site_fract_y
_atom_site_fract_z
Rb1 0.082 0.250 0.125
Bi1 0.000 0.000 0.500
S1 0.000 0.000 0.000
```

Calculated values
Magnetization (μB per atom): 0.0000
Distance to the lowest polymorph of the same formula (eV per formula unit): 0.00
Raw formation energy (meV per atom): -432

(2)
First-principles (PBE) data for a geometry-optimized PmLuTcHg structure, as listed in Alexandria.

The structure in CIF format:
```
data_PmLuTcHg
_cell_length_a 7.149
_cell_length_b 7.149
_cell_length_c 7.149
_cell_angle_alpha 90.00
_cell_angle_beta 90.00
_cell_angle_gamma 90.00
_space_group_name_H-M_alt 'F -4 3 m'
_space_group_IT_number 216
_space_group_name_Hall 'F -4 2 3'
loop_
_atom_site_label
_atom_site_fract_x
_atom_site_fract_y
_atom_site_fract_z
Pm1 0.000 0.000 0.000
Lu1 0.000 0.000 0.500
Tc1 0.250 0.250 0.750
Hg1 0.250 0.250 0.250
```

Calculated values
Final energy (eV/f.u.): -20.4
Magnetization (μB per atom): 0.0000

(3)
First-principles (PBE) data for a geometry-optimized Tc2BRu structure, as listed in Alexandria.

The structure in CIF format:
```
data_Tc2BRu
_cell_length_a 5.898
_cell_length_b 5.898
_cell_length_c 5.898
_cell_angle_alpha 90.00
_cell_angle_beta 90.00
_cell_angle_gamma 90.00
_space_group_name_H-M_alt 'F m -3 m'
_space_group_IT_number 225
_space_group_name_Hall '-F 4 2 3'
loop_
_atom_site_label
_atom_site_fract_x
_atom_site_fract_y
_atom_site_fract_z
Tc1 0.250 0.250 0.250
B1 0.000 0.000 0.000
Ru1 0.000 0.000 0.500
```

Calculated values
Magnetization (μB per atom): 0.0000
Distance to the lowest polymorph of the same formula (eV per formula unit): 3.04

(4)
First-principles (PBE) data for a geometry-optimized BaTc2Te structure, as listed in Alexandria.

The structure in CIF format:
```
data_BaTc2Te
_cell_length_a 6.505
_cell_length_b 9.418
_cell_length_c 3.221
_cell_angle_alpha 90.00
_cell_angle_beta 118.47
_cell_angle_gamma 90.00
_space_group_name_H-M_alt 'C 1 2/m 1'
_space_group_IT_number 12
loop_
_space_group_symop_operation_xyz
'x,y,z'
'-x,-y,-z'
'-x,y,-z'
'x,-y,z'
'x+1/2,y+1/2,z'
'-x+1/2,-y+1/2,-z'
'-x+1/2,y+1/2,-z'
'x+1/2,-y+1/2,z'
loop_
_atom_site_label
_atom_site_fract_x
_atom_site_fract_y
_atom_site_fract_z
Ba1 0.000 0.000 0.000
Tc1 0.250 0.250 0.000
Te1 0.000 0.500 0.000
```

Calculated values
Magnetization (μB per atom): 0.1939
Raw formation energy (meV per atom): 1014